1.
Material: Si2SbPb
Method: DFT, GGA-PBE
State: optimized geometry

Output
For the energy above the lowest structure with this stoichiometry, the calculation gives 0 meV/atom. Its density of states at the Fermi level is 0.461 states/eV per atom. For the final energy, the calculation gives -4.405 eV per atom. As for the formation energy without anion corrections: 0.265 eV per atom.

The structure in CIF format:
```
data_Si2SbPb
_chemical_formula_sum 'Si6 Sb3 Pb3'
_symmetry_space_group_name_H-M 'R 3 m'
_symmetry_Int_Tables_number 160
_symmetry_space_group_name_Hall 'R 3 -2"'
_cell_length_a 3.7916
_cell_length_b 3.7916
_cell_length_c 22.8189
_cell_angle_alpha 90.00
_cell_angle_beta 90.00
_cell_angle_gamma 120.00
loop_
_atom_site_label
_atom_site_type_symbol
_atom_site_fract_x
_atom_site_fract_y
_atom_site_fract_z
Si1 Si 0.0000 0.0000 0.0000
Si2 Si 0.0000 0.0000 0.2873
Sb1 Sb 0.0000 0.0000 0.7479
Pb1 Pb 0.0000 0.0000 0.5260
```



2.
Material: DyGePd5
Method: DFT, GGA-PBE
State: optimized geometry

Output
For the energy above the lowest structure with this stoichiometry, the calculation gives 373 meV/atom. Its density of states at the Fermi level is 0.436 states/eV per atom. For the final energy, the calculation gives -5.398 eV per atom. For the formation enthalpy at 0 K, the calculation gives -0.37 eV per atom.

The structure in CIF format:
```
data_DyGePd5
_chemical_formula_sum 'Dy4 Ge4 Pd20'
_symmetry_space_group_name_H-M 'C 1 2/c 1'
_symmetry_Int_Tables_number 15
_symmetry_space_group_name_Hall '-C 2yc'
_cell_length_a 10.445
_cell_length_b 7.528
_cell_length_c 7.363
_cell_angle_alpha 90.00
_cell_angle_beta 115.91
_cell_angle_gamma 90.00
loop_
_atom_site_label
_atom_site_type_symbol
_atom_site_fract_x
_atom_site_fract_y
_atom_site_fract_z
Dy1 Dy 0.000 0.021 0.250
Ge1 Ge 0.250 0.250 0.500
Pd1 Pd 0.000 0.387 0.250
Pd2 Pd 0.084 0.291 0.646
Pd3 Pd 0.208 0.411 0.055
```



3.
Material: Tb2Pr6SmDy3
Method: DFT, GGA-PBE
State: optimized geometry

Output
Its density of states at the Fermi level is 1.175 states/eV per atom. For the final energy, the calculation gives -4.694 eV per atom. For the formation enthalpy at 0 K, the calculation gives 0.01 eV per atom.

The structure in CIF format:
```
data_Tb2Pr6SmDy3
_chemical_formula_sum 'Tb4 Pr12 Sm2 Dy6'
_symmetry_space_group_name_H-M 'C 1 2/m 1'
_symmetry_Int_Tables_number 12
_symmetry_space_group_name_Hall '-C 2y'
_cell_length_a 6.324
_cell_length_b 10.954
_cell_length_c 11.944
_cell_angle_alpha 90.00
_cell_angle_beta 100.12
_cell_angle_gamma 90.00
loop_
_atom_site_label
_atom_site_type_symbol
_atom_site_fract_x
_atom_site_fract_y
_atom_site_fract_z
Tb1 Tb 0.000 0.167 0.000
Pr1 Pr 0.249 0.167 0.749
Pr2 Pr 0.250 0.000 0.251
Sm1 Sm 0.000 0.500 0.000
Dy1 Dy 0.000 0.000 0.500
Dy2 Dy 0.000 0.333 0.500
```



4.
Material: Be5Si2Mo
Method: DFT, GGA-PBE
State: optimized geometry

Output
Its density of states at the Fermi level is 0.061 states/eV per atom. For the final energy, the calculation gives -5.010 eV per atom. As for the formation energy without anion corrections: 0.028 eV per atom.

The structure in CIF format:
```
data_Be5Si2Mo
_chemical_formula_sum 'Be5 Si2 Mo1'
_symmetry_space_group_name_H-M 'P 1'
_symmetry_Int_Tables_number 1
_symmetry_space_group_name_Hall 'P 1'
_cell_length_a 4.433
_cell_length_b 4.519
_cell_length_c 4.531
_cell_angle_alpha 92.14
_cell_angle_beta 105.97
_cell_angle_gamma 91.00
loop_
_atom_site_label
_atom_site_type_symbol
_atom_site_fract_x
_atom_site_fract_y
_atom_site_fract_z
Be1 Be 0.000 0.000 0.000
Be2 Be 0.140 0.745 0.578
Be3 Be 0.374 0.364 0.363
Be4 Be 0.636 0.757 0.651
Be5 Be 0.852 0.166 0.483
Si1 Si 0.540 0.773 0.140
Si2 Si 0.984 0.493 0.965
Mo1 Mo 0.461 0.244 0.871
```



5.
Material: Si2MoIr
Method: DFT, GGA-PBE
State: optimized geometry

Output
Its density of states at the Fermi level is 0.505 states/eV per atom. For the final energy, the calculation gives -8.059 eV per atom. As for the formation energy without anion corrections: -0.425 eV per atom.

The structure in CIF format:
```
data_Si2MoIr
_chemical_formula_sum 'Si2 Mo1 Ir1'
_symmetry_space_group_name_H-M 'P 4/m m m'
_symmetry_Int_Tables_number 123
_symmetry_space_group_name_Hall '-P 4 2'
_cell_length_a 4.266
_cell_length_b 4.266
_cell_length_c 2.982
_cell_angle_alpha 90.00
_cell_angle_beta 90.00
_cell_angle_gamma 90.00
loop_
_atom_site_label
_atom_site_type_symbol
_atom_site_fract_x
_atom_site_fract_y
_atom_site_fract_z
Si1 Si 0.000 0.500 0.000
Mo1 Mo 0.000 0.000 0.500
Ir1 Ir 0.500 0.500 0.500
```



6.
Material: Pm3DyRu2
Method: DFT, GGA-PBE
State: optimized geometry

Output
Its density of states at the Fermi level is 0.481 states/eV per atom. For the final energy, the calculation gives -6.390 eV per atom. For the formation enthalpy at 0 K, the calculation gives -0.16 eV per atom.

The structure in CIF format:
```
data_Pm3DyRu2
_chemical_formula_sum 'Pm12 Dy4 Ru8'
_symmetry_space_group_name_H-M 'I b a m'
_symmetry_Int_Tables_number 72
_symmetry_space_group_name_Hall '-I 2 2c'
_cell_length_a 6.824
_cell_length_b 13.722
_cell_length_c 7.207
_cell_angle_alpha 90.00
_cell_angle_beta 90.00
_cell_angle_gamma 90.00
loop_
_atom_site_label
_atom_site_type_symbol
_atom_site_fract_x
_atom_site_fract_y
_atom_site_fract_z
Pm1 Pm 0.000 0.000 0.250
Pm2 Pm 0.000 0.266 0.250
Dy1 Dy 0.000 0.500 0.000
Ru1 Ru 0.226 0.133 0.000
```